DFT (meta-GGA SCAN) results for a crystal of TaZnCr2 relaxed with PBEsol.

## Properties
Magnetization ... 0.002 μB per cell
E_form ... 0.22 eV per atom
Space group ... P4/mmm

POSCAR file:
```
TaZnCr2
1.0
3.1275 0.0000 0.0000
0.0000 3.1275 0.0000
0.0000 0.0000 5.4713
Ta Zn Cr
1 1 2
Cartesian
1.5637 1.5637 0.0000 Ta
1.5637 1.5637 2.7356 Zn
0.0000 0.0000 1.5342 Cr
0.0000 0.0000 3.9371 Cr
```



DFT (meta-GGA SCAN) results for a crystal of YTe2Mo relaxed with PBEsol.

## Properties
Raw formation energy ... -0.385 eV per atom
Magnetization ... 0.000 μB per cell
Distance to the lowest polymorph of the same formula ... 2.8 kJ/mol of atoms
Space group ... C2/m

POSCAR file:
```
YTe2Mo
1.0
3.7472 0.0000 0.0000
-1.8736 4.0636 0.0321
0.0000 -1.6998 6.0936
Te Mo Y
2 1 1
Cartesian
0.0000 1.5913 1.3004 Te
1.8736 0.7725 4.8253 Te
1.8736 0.0000 0.0000 Mo
0.0000 -0.8499 3.0468 Y
```



DFT (meta-GGA SCAN) results for a crystal of KPbSeN2 relaxed with PBEsol.

## Properties
Raw formation energy ... 0.941 eV per atom
Magnetization ... 3.326 μB per cell
Space group ... P4/mmm

POSCAR file:
```
KPbSeN2
1.0
4.5732 0.0000 0.0000
0.0000 4.5732 0.0000
0.0000 0.0000 5.5211
Pb Se N K
1 1 2 1
Cartesian
0.0000 0.0000 0.0000 Pb
0.0000 0.0000 2.7605 Se
0.0000 2.2866 0.0000 N
2.2866 0.0000 0.0000 N
2.2866 2.2866 2.7605 K
```



DFT (meta-GGA SCAN) results for a crystal of IrRh3 relaxed with PBEsol.

## Properties
Magnetization ... 0.000 μB per cell
E_form ... -0.02 eV per atom
Space group ... P4/mmm

POSCAR file:
```
IrRh3
1.0
-0.0360 0.6978 2.5899
0.6586 -2.5085 0.6850
7.3330 1.8193 -0.3882
Rh Ir
3 1
Cartesian
3.6665 0.9096 -0.1941 Rh
5.8147 0.4600 1.3461 Rh
2.1409 -0.4515 1.5406 Rh
0.0000 0.0000 0.0000 Ir
```



DFT (meta-GGA SCAN) results for a crystal of Zn4Cr relaxed with PBEsol.

## Properties
Magnetization ... 3.784 μB per cell
E_form ... -0.01 eV per atom
Distance to the lowest polymorph of the same formula ... 0.0 kJ/mol of atoms
Space group ... I4/m

POSCAR file:
```
Zn4Cr
1.0
-1.6634 3.5321 0.0564
-4.0783 0.2023 2.2078
1.1626 2.6477 3.6313
Cr Zn
1 4
Cartesian
0.0000 0.0000 0.0000 Cr
-0.7223 1.7880 1.8793 Zn
-3.2358 2.7585 2.1278 Zn
-3.8567 4.5941 4.0162 Zn
-1.3432 3.6235 3.7678 Zn
```



DFT (meta-GGA SCAN) results for a crystal of CsCa3Tl relaxed with PBEsol.

## Properties
Magnetization ... 0.000 μB per cell
E_form ... 0.99 eV per atom
Space group ... Pm-3m

POSCAR file:
```
CsCa3Tl
1.0
5.6965 0.0000 0.0000
0.0000 5.6965 0.0000
0.0000 0.0000 5.6965
Tl Ca Cs
1 3 1
Cartesian
2.8483 2.8483 2.8483 Tl
2.8483 0.0000 0.0000 Ca
0.0000 0.0000 2.8483 Ca
0.0000 2.8483 0.0000 Ca
0.0000 0.0000 0.0000 Cs
```



DFT (meta-GGA SCAN) results for a crystal of CrTc2Br relaxed with PBEsol.

## Properties
Raw formation energy ... 0.808 eV per atom
Magnetization ... 0.004 μB per cell
Distance to the lowest polymorph of the same formula ... 0.0 kJ/mol of atoms
Space group ... Cm

POSCAR file:
```
CrTc2Br
1.0
-2.6735 1.1736 -0.0127
-0.6857 -1.6042 -3.9044
-0.3694 -4.4514 2.0495
Tc Cr Br
2 1 1
Cartesian
-2.2443 -1.4793 0.1187 Tc
-3.0383 -3.2673 2.0205 Tc
-1.4914 -3.4180 -1.9266 Cr
-2.0467 -4.6619 0.0478 Br
```



DFT (meta-GGA SCAN) results for a crystal of CaSbAs2 relaxed with PBEsol.

## Properties
Raw formation energy ... -0.513 eV per atom
Magnetization ... 0.000 μB per cell
Space group ... Pm

POSCAR file:
```
CaSbAs2
1.0
-3.2368 1.4195 -1.4906
-1.9521 -0.3461 3.9094
2.1295 5.6270 0.7347
As Ca Sb
2 1 1
Cartesian
1.9270 5.1217 0.6931 As
-1.7222 2.6420 1.3201 As
-1.0162 1.9500 4.0636 Ca
-1.0061 5.0813 2.0882 Sb
```



DFT (meta-GGA SCAN) results for a crystal of Y2AgRh2 relaxed with PBEsol.

## Properties
Magnetization ... 0.000 μB per cell
E_form ... -0.36 eV per atom
Distance to the lowest polymorph of the same formula ... 33.8 kJ/mol of atoms
Space group ... I4/mmm

POSCAR file:
```
Y2AgRh2
1.0
3.7329 0.0000 0.0000
0.0000 3.7329 0.0000
-1.8664 -1.8664 7.6658
Y Rh Ag
2 2 1
Cartesian
0.0000 0.0000 5.8899 Y
1.8664 1.8664 1.7759 Y
0.0000 1.8664 3.8329 Rh
1.8664 0.0000 3.8329 Rh
0.0000 0.0000 0.0000 Ag
```



DFT (meta-GGA SCAN) results for a crystal of Na2NdGeO5 relaxed with PBEsol.

## Properties
Raw formation energy ... -2.268 eV per atom
Magnetization ... 4.014 μB per cell
Space group ... Pnma

POSCAR file:
```
Na2NdGeO5
1.0
-3.1026 -3.8306 4.5666
-3.7501 -3.5231 -5.5030
6.9328 -6.3789 -0.6406
Nd O Na Ge
4 20 8 4
Cartesian
0.3118 -6.2310 1.1981 Nd
3.0234 -10.3524 1.9889 Nd
-2.9432 -3.3801 -3.5659 Nd
-0.2316 -7.5016 -2.7751 Nd
0.4612 -9.6223 -1.8895 O
-0.3810 -4.1102 0.3125 O
-1.7080 -2.5333 -1.6735 O
1.8957 -8.5498 -3.5537 O
4.0564 -6.1009 -1.4369 O
-1.6597 -5.4702 -3.1024 O
1.2187 -6.3891 -1.1995 O
0.8610 -6.1393 -4.3919 O
-0.7808 -7.5933 2.8149 O
4.1283 -9.0014 0.3710 O
-1.8155 -5.1828 1.9767 O
1.7882 -11.1992 0.0965 O
0.4205 -12.4841 -1.9105 O
-4.0481 -4.7312 -1.9480 O
2.5864 -5.1042 0.8076 O
-0.3403 -1.2484 0.3335 O
1.7399 -8.2623 1.5254 O
-2.5062 -8.6284 -2.3846 O
-3.9762 -7.6317 -0.1401 O
-1.1385 -7.3435 -0.3775 O
2.6803 -8.2961 -1.3202 Na
1.6775 -2.5429 0.1327 Na
-2.6001 -5.4364 -0.2568 Na
0.0585 -4.0639 -2.2431 Na
0.0217 -9.6687 0.6661 Na
-4.2191 -6.9574 -2.6326 Na
4.2993 -6.7751 1.0556 Na
-1.5973 -11.1897 -1.7097 Na
1.4346 -11.0743 -1.6233 Ge
-2.4864 -8.4461 -0.6339 Ge
-1.3544 -2.6583 0.0463 Ge
2.5666 -5.2864 -0.9431 Ge
```



DFT (meta-GGA SCAN) results for a crystal of Mg2CdCo relaxed with PBEsol.

## Properties
Magnetization ... 0.000 μB per cell
E_form ... 0.18 eV per atom
Space group ... P4mm

POSCAR file:
```
Mg2CdCo
1.0
-2.3799 1.1622 -1.6214
-1.9948 -1.3012 1.9953
0.1555 5.9328 4.0245
Cd Co Mg
1 1 2
Cartesian
0.0841 3.2086 2.1766 Cd
-2.0701 4.4048 3.2221 Co
0.1472 5.6173 3.8105 Mg
-2.1472 1.4622 1.2260 Mg
```



DFT (meta-GGA SCAN) results for a crystal of Ta2AgMo relaxed with PBEsol.

## Properties
Magnetization ... 0.000 μB per cell
E_form ... 0.23 eV per atom
Distance to the lowest polymorph of the same formula ... 0.0 kJ/mol of atoms
Space group ... Fm-3m

POSCAR file:
```
Ta2AgMo
1.0
-0.8732 -3.2680 -3.0588
2.4395 -0.2340 -3.8461
2.9725 -3.4042 -0.6113
Ag Mo Ta
1 1 2
Cartesian
0.0000 0.0000 0.0000 Ag
2.2694 -3.4531 -3.7581 Mo
3.4041 -5.1797 -5.6372 Ta
1.1347 -1.7266 -1.8791 Ta
```



DFT (meta-GGA SCAN) results for a crystal of CrSbCl2 relaxed with PBEsol.

## Properties
Raw formation energy ... -0.652 eV per atom
Magnetization ... 3.801 μB per cell
Distance to the lowest polymorph of the same formula ... 0.0 kJ/mol of atoms
Space group ... R-3m

POSCAR file:
```
CrSbCl2
1.0
-3.2250 -0.1366 -0.8102
-2.2777 -0.6444 2.3395
-2.7084 9.4937 2.3453
Cl Cr Sb
2 1 1
Cartesian
-6.0688 5.5354 2.7179 Cl
-2.1423 3.1774 1.1567 Cl
-4.1056 4.3564 1.9373 Cr
0.0000 0.0000 0.0000 Sb
```



DFT (meta-GGA SCAN) results for a crystal of Na2ReAsPd relaxed with PBEsol.

## Properties
Magnetization ... 1.196 μB per cell
E_form ... 0.87 eV per atom
Space group ... P4/mmm

POSCAR file:
```
Na2ReAsPd
1.0
-2.0826 3.0918 -2.7306
-3.3812 0.8935 3.5905
2.9304 3.6162 1.8596
Na As Re Pd
2 1 1 1
Cartesian
1.4652 1.8081 0.9298 Na
-1.6906 0.4467 1.7952 Na
0.0000 0.0000 0.0000 As
-1.0413 1.5459 -1.3653 Re
-1.2667 3.8008 1.3598 Pd
```



DFT (meta-GGA SCAN) results for a crystal of Dy4MgRu relaxed with PBEsol.

## Properties
Magnetization ... 0.832 μB per cell
E_form ... -0.29 eV per atom
Space group ... F-43m

POSCAR file:
```
Dy4MgRu
1.0
-2.9301 5.5884 7.1490
-6.1097 -3.3774 6.4953
2.9631 -1.7000 8.9025
Dy Ru Mg
16 4 4
Cartesian
-1.5597 -1.8680 7.1801 Dy
-3.0792 -1.7569 12.8297 Dy
-3.7651 0.8595 6.5239 Dy
-3.6756 -3.0302 15.9647 Dy
-1.4786 2.1235 4.0932 Dy
-2.6685 -1.2318 3.8486 Dy
-5.3030 0.9934 12.1680 Dy
-0.3698 1.4873 7.4248 Dy
-2.9975 2.2679 9.7170 Dy
0.7267 -0.6040 4.7494 Dy
-5.5071 0.4631 20.4336 Dy
-1.8794 1.6264 13.0764 Dy
-7.3594 1.5257 14.8686 Dy
-4.1973 -1.1154 9.4703 Dy
-0.7737 -0.4824 10.3787 Dy
-1.6880 2.5743 16.3734 Dy
-4.0707 -1.8205 6.1139 Ru
0.9722 -0.8881 7.4519 Ru
-0.6748 0.0567 2.5037 Ru
-2.3034 3.1629 6.4773 Ru
-6.0173 -0.7314 17.1831 Mg
-4.0744 0.3426 15.1176 Mg
-5.0062 2.1197 17.3910 Mg
-3.1322 -0.1980 17.9486 Mg
```



DFT (meta-GGA SCAN) results for a crystal of ScSnAu relaxed with PBEsol.

## Properties
Magnetization ... 0.000 μB per cell
E_form ... -0.92 eV per atom
Space group ... P6_3mc

POSCAR file:
```
ScSnAu
1.0
-1.2702 3.1813 2.9489
-3.0519 -2.8926 -1.6580
1.2938 -4.4139 5.3190
Sc Sn Au
2 2 2
Cartesian
0.6083 -2.0752 2.5007 Sc
1.2552 -4.2822 5.1603 Sc
-1.6057 0.2750 2.4758 Sn
-1.5527 -3.9566 3.5996 Sn
-0.8226 -2.3965 5.6951 Au
-2.0634 -2.2142 1.4999 Au
```



DFT (meta-GGA SCAN) results for a crystal of Sr3LiAs2H relaxed with PBEsol.

## Properties
Raw total energy ... -17.30 eV/atom
Magnetization ... 0.000 μB per cell
Space group ... Pnma

POSCAR file:
```
Sr3LiAs2H
1.0
-1.6959 -1.7167 -3.7242
-4.6646 -9.0486 6.2952
-10.4141 6.5632 1.7171
H As Li Sr
4 8 4 12
Cartesian
-10.5588 1.4157 0.1899 H
-12.3895 -3.4247 3.2548 H
-6.2158 -5.6178 4.0982 H
-4.3852 -0.7774 1.0333 H
-7.4899 0.3748 -0.7278 As
-3.2255 -0.3535 -2.3340 As
-9.6857 -0.2892 3.2221 As
-7.0890 -3.9129 1.0660 As
-2.0113 -3.1666 1.0536 As
-9.2848 -4.5769 5.0159 As
-14.7634 -1.0354 3.2345 As
-13.5491 -3.8486 6.6221 As
-2.5309 -0.7223 0.1636 Li
-14.2438 -3.4797 4.1245 Li
-9.6568 -0.3764 0.6052 Li
-7.1179 -3.8257 3.6829 Li
-5.1155 -7.8930 4.6459 Sr
-10.0582 -3.3121 2.1413 Sr
-4.3112 -4.7116 2.8131 Sr
-4.7467 -2.6218 -0.5957 Sr
-12.1241 -5.6985 4.1820 Sr
-8.0790 -6.5159 2.7167 Sr
-11.6592 3.6910 -0.3578 Sr
-12.0280 -1.5803 4.8838 Sr
-8.6956 2.3138 1.5713 Sr
-12.4635 0.5096 1.4749 Sr
-4.6505 1.4964 0.1061 Sr
-6.7164 -0.8899 2.1468 Sr
```



DFT (meta-GGA SCAN) results for a crystal of Tl3In2 relaxed with PBEsol.

## Properties
Magnetization ... 0.000 μB per cell
E_form ... 0.05 eV per atom
Space group ... R-3m

POSCAR file:
```
Tl3In2
1.0
-1.1971 3.1616 0.1290
-1.4072 1.3893 -2.7450
-13.0014 -3.2330 2.9441
In Tl
2 3
Cartesian
-11.4777 -0.7797 1.3199 In
-4.1281 2.0975 -0.9917 In
-5.6816 -0.3675 0.6419 Tl
-9.9241 1.6853 -0.3138 Tl
0.0000 0.0000 0.0000 Tl
```



DFT (meta-GGA SCAN) results for a crystal of Cr3W relaxed with PBEsol.

## Properties
Magnetization ... 0.000 μB per cell
E_form ... 0.36 eV per atom
Space group ... I4/mmm

POSCAR file:
```
Cr3W
1.0
3.4387 0.0000 0.0000
0.0000 3.4387 0.0000
-1.7193 -1.7193 4.2790
Cr W
3 1
Cartesian
1.7193 0.0000 2.1395 Cr
0.0000 1.7193 2.1395 Cr
1.7193 1.7193 0.0000 Cr
0.0000 0.0000 0.0000 W
```



DFT (meta-GGA SCAN) results for a crystal of Na2SrCl2 relaxed with PBEsol.

## Properties
Raw formation energy ... -1.207 eV per atom
Magnetization ... 0.000 μB per cell
Space group ... I4/mmm

POSCAR file:
```
Na2SrCl2
1.0
3.9770 0.0000 0.0000
0.0000 3.9770 0.0000
-1.9885 -1.9885 9.1242
Na Cl Sr
2 2 1
Cartesian
0.0000 1.9885 4.5621 Na
1.9885 0.0000 4.5621 Na
0.0000 0.0000 7.5919 Cl
1.9885 1.9885 1.5323 Cl
0.0000 0.0000 0.0000 Sr
```